Entry 1:
LiCu2Ni | PBEsol | relaxed

Output
* space-group type: No. 10
* formation energy from the elements: 0.01 eV/atom
* relative energy among the computed polymorphs: 24.7 meV per atom
* crystal system: monoclinic

The structure in POSCAR format:
```
LiCu2Ni
1.0
2.448 0.000 0.000
0.000 3.654 0.000
-0.043 0.000 4.963
Li Cu Ni
1 2 1
Direct
0.000 0.000 0.000
0.496 0.500 0.257
0.504 0.500 0.743
0.000 0.000 0.500
```

Entry 2:
Li2CuAu | PBEsol | relaxed

Output
* space-group type: No. 65
* formation energy from the elements: -0.24 eV/atom
* crystal system: orthorhombic

The structure in POSCAR format:
```
Li2CuAu
1.0
2.650 -3.711 0.000
2.650 3.711 0.000
0.000 0.000 2.747
Li Cu Au
2 1 1
Direct
0.000 0.500 0.000
0.500 0.000 0.000
0.000 0.000 0.500
0.500 0.500 0.500
```

Entry 3:
LiLu2Co | PBEsol | relaxed

Output
* space-group type: No. 225
* formation energy from the elements: -0.13 eV/atom
* crystal system: cubic

The structure in POSCAR format:
```
LiLu2Co
1.0
0.000 3.299 3.299
3.299 0.000 3.299
3.299 3.299 0.000
Li Lu Co
1 2 1
Direct
0.000 0.000 0.000
0.250 0.250 0.250
0.750 0.750 0.750
0.500 0.500 0.500
```

Entry 4:
SrH2WSe | PBEsol | relaxed

Output
* space-group type: No. 123
* raw total energy: -18.47 eV for the cell shown
* crystal system: tetragonal

The structure in POSCAR format:
```
SrH2WSe
1.0
4.171 0.000 0.000
0.000 4.171 0.000
0.000 0.000 6.105
Sr H W Se
1 2 1 1
Direct
0.000 0.000 0.000
0.000 0.500 0.500
0.500 0.000 0.500
0.500 0.500 0.000
0.000 0.000 0.500
```

Entry 5:
Ca3SiCl2O4 | PBEsol | relaxed

Output
* space-group type: No. 14
* formation energy from raw total energies: -2907 meV/atom
* crystal system: monoclinic

The structure in POSCAR format:
```
Ca3SiCl2O4
1.0
9.757 0.000 0.000
0.000 6.707 0.000
-2.895 0.000 10.378
Ca Si Cl O
12 4 8 16
Direct
0.073 0.216 0.387
0.073 0.284 0.887
0.302 0.741 0.455
0.302 0.759 0.955
0.417 0.041 0.728
0.417 0.459 0.228
0.583 0.541 0.772
0.583 0.959 0.272
0.698 0.241 0.045
0.698 0.259 0.545
0.927 0.716 0.113
0.927 0.784 0.613
0.381 0.250 0.470
0.381 0.250 0.970
0.619 0.750 0.030
0.619 0.750 0.530
0.008 0.202 0.623
0.008 0.298 0.123
0.215 0.677 0.683
0.215 0.823 0.183
0.785 0.177 0.817
0.785 0.323 0.317
0.992 0.702 0.877
0.992 0.798 0.377
0.265 0.083 0.892
0.265 0.417 0.392
0.278 0.068 0.496
0.278 0.432 0.996
0.487 0.189 0.110
0.487 0.199 0.379
0.487 0.301 0.879
0.487 0.311 0.610
0.513 0.689 0.390
0.513 0.699 0.121
0.513 0.801 0.621
0.513 0.811 0.890
0.722 0.568 0.004
0.722 0.932 0.504
0.735 0.583 0.608
0.735 0.917 0.108
```

Entry 6:
HgBiP2S | PBEsol | relaxed

Output
* space-group type: No. 123
* formation energy from raw total energies: 925 meV/atom
* crystal system: tetragonal

The structure in POSCAR format:
```
HgBiP2S
1.0
4.897 0.000 0.000
0.000 4.897 0.000
0.000 0.000 4.885
Hg Bi P S
1 1 2 1
Direct
0.000 0.000 0.000
0.500 0.500 0.500
0.000 0.500 0.000
0.500 0.000 0.000
0.000 0.000 0.500
```

Entry 7:
TlZnIn2 | PBEsol | relaxed

Output
* space-group type: No. 123
* formation energy from the elements: 0.15 eV/atom
* crystal system: tetragonal

The structure in POSCAR format:
```
TlZnIn2
1.0
5.188 0.000 0.000
0.000 5.188 0.000
0.000 0.000 3.544
Tl Zn In
1 1 2
Direct
0.000 0.000 0.000
0.500 0.500 0.000
0.000 0.500 0.500
0.500 0.000 0.500
```

Entry 8:
Cd2CuRh | PBEsol | relaxed

Output
* space-group type: No. 44
* formation energy from the elements: -0.01 eV/atom
* crystal system: orthorhombic

The structure in POSCAR format:
```
Cd2CuRh
1.0
-1.551 2.239 4.547
1.551 -2.239 4.547
1.551 2.239 -4.547
Cd Cu Rh
2 1 1
Direct
0.000 0.000 0.000
0.728 0.228 0.500
0.244 0.744 0.500
0.469 0.469 0.000
```